! KFeS2O9 GGA+U relaxed; values from VASP
! Space-group type: P2_1/m (11)
! Uncorrected energy in eV per atom: -5.919
! Size of the total moment in μB/atom: 0.3860
! Crystal system: monoclinic
&SYSTEM
  ibrav = 0, nat = 26, ntyp = 4
/
ATOMIC_SPECIES
K 39.10 K.upf
Fe 55.84 Fe.upf
S 32.06 S.upf
O 16.00 O.upf
ATOMIC_POSITIONS angstrom
K 0.221 1.307 2.002
K 7.910 3.920 6.935
Fe 4.003 3.920 6.792
Fe 4.128 1.307 2.144
S 1.885 1.307 5.802
S 2.535 3.920 0.828
S 5.596 1.307 8.109
S 6.246 3.920 3.134
O 0.436 1.307 5.766
O 1.168 3.920 0.315
O 2.211 1.307 4.203
O 2.453 0.087 6.385
O 2.453 2.526 6.385
O 2.731 2.707 1.694
O 2.731 5.132 1.694
O 3.352 3.920 8.704
O 3.648 1.307 4.006
O 4.483 3.920 4.930
O 4.779 1.307 0.232
O 5.400 0.094 7.242
O 5.400 2.519 7.242
O 5.678 2.700 2.551
O 5.678 5.139 2.551
O 5.920 3.920 4.734
O 6.963 1.307 8.622
O 7.695 3.920 3.171
CELL_PARAMETERS angstrom
8.348 0.000 0.000
0.000 5.226 0.000
-0.217 0.000 8.936